Record 1
Entry from the Alexandria database: MgRe2Pt after structural relaxation (PBEsol).

ΔE_f, eV per atom: 0.210
Symmetry: No. 166
Density of states at the Fermi level, states/eV per cell: 2.4

Unit cell a=9.4018 b=9.4018 c=9.4018 alpha=16.84 beta=16.84 gamma=16.84
Closest atoms and distances in Å follow each position.
Fractional positions:
Mg  0.0000  0.0000  0.0000  6 Mg 2.75, 6 Re 2.87
Re  0.2472  0.2472  0.2472  3 Pt 2.75, 6 Re 2.75, 3 Mg 2.87
Re  0.7528  0.7528  0.7528  3 Pt 2.75, 6 Re 2.75, 3 Mg 2.87
Pt  0.5000  0.5000  0.5000  6 Re 2.75, 6 Pt 2.75

---

Record 2
Entry from the Alexandria database: ZnNi2Ir after structural relaxation (PBEsol).

ΔE_f, eV per atom: -0.117
Symmetry: No. 25
Density of states at the Fermi level, states/eV per cell: 4.6

Unit cell a=2.6073 b=4.1855 c=4.3880 alpha=90.00 beta=90.00 gamma=90.00
Closest atoms and distances in Å follow each position.
Fractional positions:
Zn  0.0000  0.0000  0.0000  8 Ni 2.52-2.58, 2 Zn 2.61, 2 Ir 2.66
Ni  0.5000  0.0000  0.4928  4 Zn 2.52-2.58, 4 Ir 2.54, 4 Ni 2.61
Ni  0.5000  0.5000  0.1373  4 Ir 2.52-2.59, 4 Zn 2.54, 4 Ni 2.61
Ir  0.0000  0.5000  0.6276  8 Ni 2.52-2.59, 2 Ir 2.61, 2 Zn 2.66

---

Record 3
Entry from the Alexandria database: CaTeAu after structural relaxation (PBEsol).

ΔE_f (raw), eV per atom: -0.73
Symmetry: No. 216
Density of states at the Fermi level, states/eV per cell: 2.2

Unit cell a=4.8561 b=4.8561 c=4.8561 alpha=60.00 beta=60.00 gamma=60.00
Closest atoms and distances in Å follow each position.
Fractional positions:
Ca  0.0000  0.0000  0.0000  4 Au 2.97
Te  0.5000  0.5000  0.5000  4 Au 2.97
Au  0.2500  0.2500  0.2500  4 Te 2.97, 4 Ca 2.97

---

Record 4
Entry from the Alexandria database: Te7RhCl7 after structural relaxation (PBEsol).

ΔE_f (raw), eV per atom: -0.46
Symmetry: No. 2

Unit cell a=9.0920 b=9.9869 c=11.3020 alpha=69.71 beta=69.51 gamma=67.84
Closest atoms and distances in Å follow each position.
Fractional positions:
Te  0.0457  0.1531  0.0184  1 Rh 2.63, 2 Te 2.81-2.82, 1 Cl 2.88
Te  0.0575  0.1579  0.3457  3 Cl 2.39-2.58, 1 Rh 2.62
Te  0.0677  0.6615  0.2035  3 Te 2.82-2.96, 1 Cl 3.08
Te  0.1934  0.4477  0.0393  2 Rh 2.67-2.68, 1 Te 2.96
Te  0.2113  0.4432  0.7049  1 Rh 2.66, 2 Te 2.81-2.83, 1 Cl 2.88
Te  0.3380  0.7392  0.7353  4 Cl 2.48-2.70, 1 Rh 2.64
Te  0.3521  0.2061  0.8938  3 Te 2.81-3.01
Te  0.6479  0.7939  0.1062  3 Te 2.81-3.01
Te  0.6620  0.2608  0.2647  4 Cl 2.48-2.70, 1 Rh 2.64
Te  0.7887  0.5568  0.2951  1 Rh 2.66, 2 Te 2.81-2.83, 1 Cl 2.88
Te  0.8066  0.5523  0.9607  2 Rh 2.67-2.68, 1 Te 2.96
Te  0.9323  0.3385  0.7965  3 Te 2.82-2.96, 1 Cl 3.08
Te  0.9425  0.8421  0.6543  3 Cl 2.39-2.58, 1 Rh 2.62
Te  0.9543  0.8469  0.9816  1 Rh 2.63, 2 Te 2.81-2.82, 1 Cl 2.88
Rh  0.0728  0.6482  0.8424  6 Te 2.62-2.68
Rh  0.9272  0.3518  0.1576  6 Te 2.62-2.68
Cl  0.0203  0.6498  0.5243  1 Te 2.56
Cl  0.1792  0.0118  0.6919  1 Te 2.52
Cl  0.2239  0.9614  0.2110  2 Te 2.58-2.88
Cl  0.3220  0.1886  0.2973  1 Te 2.39
Cl  0.3271  0.7736  0.9656  1 Te 2.70
Cl  0.3398  0.7573  0.5108  1 Te 2.48
Cl  0.4689  0.5351  0.2574  1 Te 2.63
Cl  0.5311  0.4649  0.7426  1 Te 2.63
Cl  0.6602  0.2427  0.4892  1 Te 2.48
Cl  0.6729  0.2264  0.0344  1 Te 2.70
Cl  0.6780  0.8114  0.7027  1 Te 2.39
Cl  0.7761  0.0386  0.7890  2 Te 2.58-2.88
Cl  0.8208  0.9882  0.3081  1 Te 2.52
Cl  0.9797  0.3502  0.4757  1 Te 2.56

---

Record 5
Entry from the Alexandria database: KCr2Cl after structural relaxation (PBEsol).

Distance to the lowest polymorph of the same formula, meV/atom: 0
ΔE_f (raw), eV per atom: 0.49
Symmetry: No. 44
Density of states at the Fermi level, states/eV per cell: 1.5

Unit cell a=6.2150 b=6.2150 c=6.2150 alpha=151.00 beta=117.00 gamma=70.81
Closest atoms and distances in Å follow each position.
Fractional positions:
K  0.0000  0.0000  0.0000  2 Cl 3.04, 2 K 3.11
Cr  0.4477  0.4477  0.0000  2 Cr 2.37, 2 Cl 2.47
Cr  0.6244  0.1244  0.5000  2 Cr 2.37
Cl  0.2579  0.7579  0.5000  2 Cr 2.47

---

Record 6
Entry from the Alexandria database: CdOsAu2 after structural relaxation (PBEsol).

ΔE_f, eV per atom: 0.402
Symmetry: No. 25
Density of states at the Fermi level, states/eV per cell: 3.2

Unit cell a=2.7744 b=4.7652 c=4.9845 alpha=90.00 beta=90.00 gamma=90.00
Closest atoms and distances in Å follow each position.
Fractional positions:
Cd  0.0000  0.0000  0.0000  2 Cd 2.77, 8 Au 2.80-2.91, 2 Os 2.98
Os  0.0000  0.5000  0.3582  2 Os 2.77, 8 Au 2.81-2.90, 2 Cd 2.98
Au  0.5000  0.0000  0.4872  4 Au 2.77-2.99, 4 Cd 2.80-2.91, 4 Os 2.83
Au  0.5000  0.5000  0.8482  4 Au 2.77-2.99, 4 Os 2.81-2.90, 4 Cd 2.86

---

Record 7
Entry from the Alexandria database: Ni2Pt after structural relaxation (PBEsol).

ΔE_f, eV per atom: -0.047
Symmetry: No. 1
Density of states at the Fermi level, states/eV per cell: 19.3

Unit cell a=5.1401 b=5.1961 c=5.7299 alpha=103.08 beta=102.87 gamma=90.08
Closest atoms and distances in Å follow each position.
Fractional positions:
Ni  0.0000  0.0000  0.0000  8 Ni 2.51-2.64, 4 Pt 2.57-2.61
Ni  0.9999  0.4994  0.0002  8 Ni 2.51-2.64, 4 Pt 2.57-2.62
Ni  0.1595  0.1691  0.6753  8 Ni 2.48-2.66, 4 Pt 2.50-2.55
Ni  0.1600  0.6679  0.6753  8 Ni 2.48-2.66, 4 Pt 2.50-2.55
Ni  0.3390  0.8368  0.3489  6 Pt 2.53-2.65, 6 Ni 2.56-2.64
Ni  0.6766  0.1684  0.6732  8 Ni 2.48-2.66, 4 Pt 2.55-2.58
Ni  0.6773  0.6673  0.6732  8 Ni 2.48-2.66, 4 Pt 2.54-2.58
Ni  0.8346  0.3363  0.3471  6 Ni 2.51-2.63, 6 Pt 2.52-2.64
Pt  0.3268  0.3374  0.3513  10 Ni 2.52-2.62, 2 Pt 2.69
Pt  0.4984  0.4983  0.9949  8 Ni 2.54-2.65, 4 Pt 2.60-2.69
Pt  0.4988  0.9986  0.9953  8 Ni 2.55-2.65, 4 Pt 2.60-2.69
Pt  0.8475  0.8367  0.3483  10 Ni 2.50-2.61, 2 Pt 2.68

---

Record 8
Entry from the Alexandria database: CsLiAl3 after structural relaxation (PBEsol).

ΔE_f, eV per atom: 1.558
Symmetry: No. 221
Density of states at the Fermi level, states/eV per cell: 5.6

Unit cell a=5.9091 b=5.9091 c=5.9091 alpha=90.00 beta=90.00 gamma=90.00
Closest atoms and distances in Å follow each position.
Fractional positions:
Cs  0.0000  0.0000  0.0000  6 Al 2.95
Li  0.5000  0.5000  0.5000  12 Al 4.18
Al  0.0000  0.0000  0.5000  2 Cs 2.95
Al  0.0000  0.5000  0.0000  2 Cs 2.95
Al  0.5000  0.0000  0.0000  2 Cs 2.95

---

Results for density: 16.15, 13.00, 7.48, 4.79, 2.90, 17.55, 14.30, 1.78 (in Mg/m³, following the order of the records).
Results for M_tot: 0.00, 0.00, 0.00, 0.00, 0.47, 0.00, 1.74, 0.00 (in μB/f.u., following the order of the records).